(1)
A geometry-optimized Rb3CeY2O6 structure. Source: Alexandria via LeMat-Bulk, functional GGA-PBE.

Cell and atoms, written as extended XYZ:
```
12
Lattice="6.187 -0.001 0.000 -3.093 5.358 0.000 -1.032 -1.786 6.574" Properties=species:S:1:pos:R:3 pbc="T T T"
Rb 4.119 0.002 3.287
O -1.053 1.825 1.157
O 3.116 1.746 5.418
O -0.045 3.571 5.418
Y 3.093 1.786 0.000
Ce 0.000 0.000 0.000
Y 0.001 3.572 0.000
Rb 1.031 1.785 3.287
Rb -2.056 3.569 3.287
O 2.040 3.533 1.156
O 2.107 0.000 1.157
O 0.022 0.038 5.419
```

Output
**E_tot**: -83.03 eV per cell
**Formation energy from raw total energies**: -2626 meV/atom
**DOS(E_F)**: 3.9 states/eV/f.u.
**Magnetic moment**: 0.079 μB per atom
**Space group**: C2/m (12)

***

(2)
A geometry-optimized NaTa2I structure. Source: Alexandria via LeMat-Bulk, functional GGA-PBE.

Cell and atoms, written as extended XYZ:
```
4
Lattice="-1.421 -3.627 2.884 -3.939 -2.590 -1.125 0.460 -4.593 -1.477" Properties=species:S:1:pos:R:3 pbc="T T T"
I -2.450 -5.405 0.141
Ta -3.675 -8.108 0.212
Ta -1.225 -2.703 0.071
Na 0.000 0.000 0.000
```

Output
**Energy above the most stable polymorph in this dataset**: 0.548 eV per atom
**E_tot**: -20.80 eV per cell
**Formation energy from raw total energies**: 1444 meV/atom
**DOS(E_F)**: 5.4 states/eV/f.u.
**Magnetic moment**: 0.000 μB per atom
**Space group**: Fm-3m (225)

***

(3)
A geometry-optimized TcP2Os structure. Source: Alexandria via LeMat-Bulk, functional GGA-PBE.

Cell and atoms, written as extended XYZ:
```
4
Lattice="4.648 0.000 0.000 0.000 3.003 0.022 0.000 1.474 4.195" Properties=species:S:1:pos:R:3 pbc="T T T"
Os 2.324 3.546 3.004
P 0.000 3.537 4.042
P 2.324 2.059 1.230
Tc 0.000 2.050 2.268
```

Output
**Energy above the most stable polymorph in this dataset**: 0.000 eV per atom
**E_form**: -0.305 eV per atom
**E_tot**: -33.64 eV per cell
**DOS(E_F)**: 1.6 states/eV/f.u.
**Magnetic moment**: 0.000 μB per atom
**Space group**: Amm2 (38)

***

(4)
A geometry-optimized ZrTl2Br structure. Source: Alexandria via LeMat-Bulk, functional GGA-PBE.

Cell and atoms, written as extended XYZ:
```
4
Lattice="7.525 0.008 0.023 -3.024 4.770 0.001 1.477 0.932 2.846" Properties=species:S:1:pos:R:3 pbc="T T T"
Tl 0.000 0.000 0.000
Zr -0.773 2.851 1.423
Br 2.251 2.389 0.012
Tl 4.501 0.470 1.434
```

Output
**Energy above the most stable polymorph in this dataset**: 0.316 eV per atom
**E_tot**: -15.28 eV per cell
**Formation energy from raw total energies**: -81 meV/atom
**DOS(E_F)**: 2.4 states/eV/f.u.
**Magnetic moment**: 0.000 μB per atom
**Space group**: Cmmm (65)

***

(5)
A geometry-optimized Nd4TlGa structure. Source: Alexandria via LeMat-Bulk, functional GGA-PBE.

Cell and atoms, written as extended XYZ:
```
6
Lattice="5.192 0.000 -0.001 0.000 5.194 -0.001 0.004 0.007 7.492" Properties=species:S:1:pos:R:3 pbc="T T T"
Nd 2.604 5.179 1.970
Tl 2.607 2.589 7.477
Nd 0.007 2.584 1.972
Nd 0.011 2.588 5.492
Nd 2.606 5.186 5.491
Ga 0.009 5.183 3.730
```

Output
**Energy above the most stable polymorph in this dataset**: 0.174 eV per atom
**E_form**: -0.147 eV per atom
**E_tot**: -25.35 eV per cell
**DOS(E_F)**: 9.5 states/eV/f.u.
**Magnetic moment**: 0.000 μB per atom
**Space group**: P4/mmm (123)

***

(6)
A geometry-optimized Ca2HfCr structure. Source: Alexandria via LeMat-Bulk, functional GGA-PBE.

Cell and atoms, written as extended XYZ:
```
4
Lattice="0.000 3.669 3.669 3.669 0.000 3.669 3.669 3.669 0.000" Properties=species:S:1:pos:R:3 pbc="T T T"
Ca 1.835 1.835 1.835
Cr 0.000 0.000 0.000
Ca 5.504 5.504 5.504
Hf 3.669 3.669 3.669
```

Output
**Energy above the most stable polymorph in this dataset**: 0.224 eV per atom
**E_form**: 1.202 eV per atom
**E_tot**: -18.77 eV per cell
**DOS(E_F)**: 21.9 states/eV/f.u.
**Magnetic moment**: 0.000 μB per atom
**Space group**: Fm-3m (225)

***

(7)
A geometry-optimized Sm6Er2Hg structure. Source: Alexandria via LeMat-Bulk, functional GGA-PBE.

Cell and atoms, written as extended XYZ:
```
9
Lattice="3.509 0.000 -0.126 0.000 9.717 0.000 -1.436 -4.859 8.737" Properties=species:S:1:pos:R:3 pbc="T T T"
Sm 1.968 -3.086 5.712
Sm 1.754 2.825 -0.063
Sm 0.104 1.773 2.900
Sm 1.968 3.086 5.712
Sm 0.104 7.944 2.900
Sm 1.754 6.892 -0.063
Er 0.221 0.000 5.867
Er 1.852 4.859 2.745
Hg 0.000 0.000 0.000
```

Output
**E_form**: 0.094 eV per atom
**E_tot**: -36.90 eV per cell
**DOS(E_F)**: 14.4 states/eV/f.u.
**Magnetic moment**: 0.000 μB per atom
**Space group**: C2/m (12)

***

(8)
A geometry-optimized Ni2BrN structure. Source: Alexandria via LeMat-Bulk, functional GGA-PBE.

Cell and atoms, written as extended XYZ:
```
8
Lattice="5.053 0.000 0.000 0.000 5.053 0.000 2.526 2.526 4.610" Properties=species:S:1:pos:R:3 pbc="T T T"
Ni 3.168 1.263 1.153
N 2.526 5.053 2.305
Ni 6.316 5.694 3.458
Br 5.053 2.526 2.305
N 2.526 2.526 0.000
Br 0.000 0.000 0.000
Ni 1.884 3.789 1.153
Ni 3.789 4.411 3.458
```

Output
**Energy above the most stable polymorph in this dataset**: 0.000 eV per atom
**E_tot**: -41.74 eV per cell
**Formation energy from raw total energies**: 173 meV/atom
**DOS(E_F)**: 3.1 states/eV/f.u.
**Magnetic moment**: 0.000 μB per atom
**Space group**: I-42d (122)

***

(9)
A geometry-optimized Ca2HgP2 structure. Source: Alexandria via LeMat-Bulk, functional GGA-PBE.

Cell and atoms, written as extended XYZ:
```
10
Lattice="8.477 0.000 0.000 0.000 8.477 0.000 0.000 0.000 3.276" Properties=species:S:1:pos:R:3 pbc="T T T"
P 1.358 5.597 1.638
Hg 4.238 4.238 0.000
P 7.118 2.880 1.638
Ca 5.430 1.192 0.000
Hg 0.000 0.000 0.000
Ca 1.192 3.046 0.000
P 5.597 7.118 1.638
Ca 3.046 7.285 0.000
Ca 7.285 5.430 0.000
P 2.880 1.358 1.638
```

Output
**Energy above the most stable polymorph in this dataset**: 0.269 eV per atom
**E_form**: -0.530 eV per atom
**E_tot**: -35.55 eV per cell
**DOS(E_F)**: 3.8 states/eV/f.u.
**Magnetic moment**: 0.000 μB per atom
**Space group**: P4/mbm (127)

***

(10)
A geometry-optimized BaAcNd structure. Source: Alexandria via LeMat-Bulk, functional GGA-PBE.

Cell and atoms, written as extended XYZ:
```
3
Lattice="-3.216 1.682 1.615 -1.409 -3.594 0.936 6.366 1.358 6.375" Properties=species:S:1:pos:R:3 pbc="T T T"
Nd -0.875 -0.813 3.989
Ba 0.032 0.003 0.061
Ac 2.584 0.256 4.877
```

Output
**Energy above the most stable polymorph in this dataset**: 0.031 eV per atom
**E_form**: 0.096 eV per atom
**E_tot**: -10.51 eV per cell
**DOS(E_F)**: 4.4 states/eV/f.u.
**Magnetic moment**: 0.000 μB per atom
**Space group**: I4mm (107)

***

(11)
A geometry-optimized Pr14HoTm structure. Source: Alexandria via LeMat-Bulk, functional GGA-PBE.

Cell and atoms, written as extended XYZ:
```
16
Lattice="-3.774 3.279 5.414 -6.300 -2.555 -2.846 0.865 -8.621 5.824" Properties=species:S:1:pos:R:3 pbc="T T T"
Pr -1.768 -3.400 4.586
Pr -6.810 -3.038 5.871
Pr -4.920 -4.677 3.164
Pr -7.216 -6.680 5.279
Pr -3.658 -1.761 7.293
Ho -4.089 2.551 4.384
Pr -5.770 -3.950 -0.377
Pr -5.332 -8.320 2.575
Tm -5.353 -0.368 0.250
Pr -4.508 -1.038 3.753
Pr -2.625 -2.676 1.047
Pr -7.236 1.273 2.958
Pr -7.654 -2.314 2.329
Pr -4.071 -5.402 6.701
Pr -2.206 0.911 1.676
Pr -2.187 -7.042 3.997
```

Output
**E_form**: 0.013 eV per atom
**E_tot**: -75.75 eV per cell
**DOS(E_F)**: 24.6 states/eV/f.u.
**Magnetic moment**: 0.000 μB per atom
**Space group**: P4/mmm (123)

***

(12)
A geometry-optimized Pm4GaPt structure. Source: Alexandria via LeMat-Bulk, functional GGA-PBE.

Cell and atoms, written as extended XYZ:
```
24
Lattice="-2.657 -9.317 1.622 2.636 -7.032 -6.332 6.750 -6.654 2.581" Properties=species:S:1:pos:R:3 pbc="T T T"
Pm 5.493 -11.881 0.243
Pm 2.686 -16.396 -0.544
Ga 1.987 -6.160 -2.382
Pm 1.542 -13.000 -0.160
Pm 7.140 -12.871 -2.749
Pt 5.207 -9.988 -1.979
Pt 2.960 -10.958 1.397
Ga 0.298 -6.888 0.155
Pm 2.908 -8.700 -4.367
Pm 1.242 -14.541 -3.350
Pm -0.410 -10.132 0.619
Pm 4.761 -15.501 -3.662
Ga 3.298 -6.039 0.460
Pm 2.658 -9.086 -0.841
Pm 3.765 -12.040 -3.501
Pm 3.720 -19.153 -3.026
Pm 7.407 -18.109 -2.650
Pm 5.332 -19.005 0.467
Pm 6.374 -15.353 -0.168
Pm 5.487 -8.463 1.221
Pt 1.213 -11.118 -2.386
Pt 4.079 -13.943 -1.291
Ga 1.146 -3.917 -0.363
Pm 3.821 -14.304 2.237
```

Output
**Energy above the most stable polymorph in this dataset**: 0.000 eV per atom
**E_form**: -0.592 eV per atom
**E_tot**: -126.49 eV per cell
**DOS(E_F)**: 6.5 states/eV/f.u.
**Magnetic moment**: 0.000 μB per atom
**Space group**: F-43m (216)

***

(13)
A geometry-optimized PuNbFe2 structure. Source: Alexandria via LeMat-Bulk, functional GGA-PBE.

Cell and atoms, written as extended XYZ:
```
4
Lattice="3.089 0.000 0.000 0.000 3.089 0.000 0.000 0.000 6.827" Properties=species:S:1:pos:R:3 pbc="T T T"
Fe 0.000 0.000 5.345
Fe 0.000 0.000 1.483
Pu 1.545 1.545 3.414
Nb 1.545 1.545 0.000
```

Output
**Energy above the most stable polymorph in this dataset**: 0.000 eV per atom
**E_form**: 0.069 eV per atom
**E_tot**: -41.05 eV per cell
**DOS(E_F)**: 7.6 states/eV/f.u.
**Magnetic moment**: 0.669 μB per atom
**Space group**: P4/mmm (123)